No. 1
VASP calculation (PBE-GGA) on a relaxed structure of HoZr2Cd.

The calculation puts the calculated formation energy at 0.005 eV per atom. For the total energy, the calculation gives -5.643 eV/atom. The value obtained for the offset from the most stable computed form is 1.73 kJ per mole of atoms. As for the crystal system: tetragonal. Its space group is P4/mmm, No. 123.

```
4
Lattice="3.268 0.000 0.000 0.000 3.268 0.000 0.000 0.000 8.999" Properties=species:S:1:pos:R:3 pbc="T T T"
Ho 1.634 1.634 4.500
Zr 0.000 0.000 6.866
Zr 0.000 0.000 2.133
Cd 1.634 1.634 0.000
```

---

No. 2
VASP calculation (PBE-GGA) on a relaxed structure of Ac2HfMo2N6.

For the total energy, the calculation gives -8.992 eV/atom. As for the crystal system: trigonal. Its space group is R-3m, No. 166.

```
11
Lattice="-2.365 1.392 -5.462 0.632 -3.878 -4.683 -5.450 -3.383 -1.923" Properties=species:S:1:pos:R:3 pbc="T T T"
Ac -4.785 -4.086 -9.231
Ac -2.398 -1.783 -2.837
Hf 0.000 0.000 0.000
Mo -4.630 -3.479 -5.723
Mo -2.554 -2.391 -6.345
N -2.640 -2.713 -8.196
N -1.391 -3.449 -5.311
N -2.973 -0.665 -5.723
N -4.210 -5.204 -6.345
N -5.792 -2.421 -6.757
N -4.544 -3.156 -3.872
```